No. 1
Crystalline Tb12Pm2Tm5 at its relaxed geometry. Source: the Alexandria database, functional GGA-PBE.

ρ   8188 kg/m3
ΔH_f (0 K)   0.133 eV per atom
Energy relative to the lowest polymorph listed for this composition   1.30 eV/f.u.

Cell: 15.7422 9.2005 8.5189 Å, 90.00 90.83 90.00°
Closest atoms and distances in Å follow each position.
Space group C2/m (No. 12)
Unique sites:
Tb1 0.0599 0.0000 0.3315 [4 per cell]  2 Tm 3.37-3.51, 7 Tb 3.40-3.46, 2 Pm 3.40
Tb2 0.0940 0.5000 0.8830 [4 per cell]  3 Tm 3.40-3.56, 2 Pm 3.44, 5 Tb 3.47-3.61
Tb3 0.1257 0.1922 0.6552 [8 per cell]  4 Tm 3.36-3.69, 6 Tb 3.42-3.74, 1 Pm 3.57
Tb4 0.1569 0.3187 0.2424 [8 per cell]  4 Tb 3.34-3.61, 1 Pm 3.44, 4 Tm 3.47-3.72
Pm1 0.0000 0.1813 0.0000 [4 per cell]  1 Pm 3.34, 8 Tb 3.40-3.57, 2 Tm 3.52
Tm1 0.0000 0.5000 0.5000 [2 per cell]  10 Tb 3.56-3.72, 2 Tm 3.69
Tm2 0.1968 0.0000 0.0104 [4 per cell]  8 Tb 3.40-3.67, 2 Pm 3.52, 1 Tm 3.70
Tm3 0.2314 0.5000 0.5745 [4 per cell]  10 Tb 3.36-3.75, 2 Tm 3.69-3.70

No. 2
Crystalline Li2AlSe at its relaxed geometry. Source: the Alexandria database, functional GGA-PBE.

ρ   2908 kg/m3
Formation energy without anion corrections   -0.40 eV/atom
Energy relative to the lowest polymorph listed for this composition   0.51 eV/f.u.

Cell: 5.6715 8.5273 2.8291 Å, 90.00 90.00 90.00°
Closest atoms and distances in Å follow each position.
Space group Cmmm (No. 65)
Unique sites:
Li1 0.2500 0.2500 0.0000 [4 per cell]  4 Li 2.83-2.84, 4 Se 2.93, 4 Al 2.93
Al1 0.0000 0.0000 0.5000 [2 per cell]  2 Al 2.83, 2 Se 2.84, 8 Li 2.93
Se1 0.0000 0.5000 0.5000 [2 per cell]  2 Se 2.83, 2 Al 2.84, 8 Li 2.93

No. 3
Crystalline Cd2FeCuBr at its relaxed geometry. Source: the Alexandria database, functional GGA-PBE.

ρ   5381 kg/m3
Formation energy without anion corrections   1.24 eV/atom

Cell: 5.5492 5.5492 4.2499 Å, 90.00 90.00 90.00°
Closest atoms and distances in Å follow each position.
Space group P4/mmm (No. 123)
Unique sites:
Cd1 0.0000 0.5000 0.0000 [2 per cell]  2 Br 2.77
Fe1 0.0000 0.0000 0.5000 [1 per cell]  2 Br 2.12
Cu1 0.5000 0.5000 0.5000 [1 per cell]  8 Cd 3.49
Br1 0.0000 0.0000 0.0000 [1 per cell]  2 Fe 2.12

No. 4
Crystalline LaPaPdAu at its relaxed geometry. Source: the Alexandria database, functional GGA-PBE.

ρ   11573 kg/m3
ΔH_f (0 K)   -0.396 eV per atom

Cell: 7.2839 7.2839 7.2839 Å, 90.00 90.00 90.00°
Closest atoms and distances in Å follow each position.
Space group F-43m (No. 216)
Unique sites:
La1 0.0000 0.0000 0.0000 [4 per cell]  4 Au 3.15, 4 Pd 3.15
Pa1 0.0000 0.0000 0.5000 [4 per cell]  4 Pd 3.15, 4 Au 3.15
Pd1 0.2500 0.2500 0.7500 [4 per cell]  4 La 3.15, 4 Pa 3.15
Au1 0.2500 0.2500 0.2500 [4 per cell]  4 La 3.15, 4 Pa 3.15

No. 5
Crystalline BaC3 at its relaxed geometry. Source: the Alexandria database, functional GGA-PBE.

ρ   4380 kg/m3
ΔH_f (0 K)   1.462 eV per atom
Energy relative to the lowest polymorph listed for this composition   4.79 eV/f.u.

Cell: 3.6014 6.0346 6.0488 Å, 90.00 90.00 90.00°
Closest atoms and distances in Å follow each position.
Space group Immm (No. 71)
Unique sites:
Ba1 0.0000 0.0000 0.0000 [2 per cell]  10 C 2.95-3.10
C1 0.0000 0.1119 0.5000 [4 per cell]  1 C 1.35
C2 0.0000 0.5000 0.0000 [2 per cell]  4 C 1.92

No. 6
Crystalline Tm4Sc3Al4 at its relaxed geometry. Source: the Alexandria database, functional GGA-PBE.

ρ   5819 kg/m3
ΔH_f (0 K)   -0.223 eV per atom

Cell: 3.2758 8.9705 17.8394 Å, 90.00 90.00 90.00°
Closest atoms and distances in Å follow each position.
Space group Immm (No. 71)
Unique sites:
Tm1 0.0000 0.1835 0.1621 [8 per cell]  4 Al 3.02-3.08, 3 Tm 3.28-3.29
Sc1 0.0000 0.0000 0.4073 [4 per cell]  6 Al 2.87-3.05
Sc2 0.0000 0.5000 0.5000 [2 per cell]  4 Al 3.00, 2 Sc 3.28
Al1 0.0000 0.2807 0.0000 [4 per cell]  6 Sc 3.00-3.05, 2 Tm 3.02, 2 Al 3.28
Al2 0.0000 0.5000 0.2245 [4 per cell]  2 Sc 2.87, 6 Tm 3.05-3.08

No. 7
Crystalline BaSr2AsP at its relaxed geometry. Source: the Alexandria database, functional GGA-PBE.

ρ   3322 kg/m3
ΔH_f (0 K)   -0.908 eV per atom

Cell: 5.3502 5.3502 7.3071 Å, 90.00 90.00 90.00°
Closest atoms and distances in Å follow each position.
Space group P4mm (No. 99)
Unique sites:
Ba1 0.0000 0.0000 0.0000 [1 per cell]  1 P 2.99
Sr1 0.0000 0.5000 0.4304 [2 per cell]  2 P 2.92, 2 As 3.23
As1 0.5000 0.5000 0.1827 [1 per cell]  4 Sr 3.23
P1 0.0000 0.0000 0.5912 [1 per cell]  4 Sr 2.92, 1 Ba 2.99

No. 8
Crystalline CePm2YS6 at its relaxed geometry. Source: the Alexandria database, functional GGA-PBE.

ρ   4314 kg/m3
Formation energy without anion corrections   -2.01 eV/atom

Cell: 7.1041 7.1041 18.7972 Å, 90.00 90.00 120.00°
Closest atoms and distances in Å follow each position.
Space group R3 (No. 146, hexagonal axes)
Unique sites:
Ce1 0.0000 0.0000 0.0000 [3 per cell]  6 S 2.81-2.89
Pm1 0.0000 0.0000 0.2921 [3 per cell]  6 S 2.80-2.87
Pm2 0.0000 0.0000 0.7947 [3 per cell]  6 S 2.79-2.88
Y1 0.0000 0.0000 0.4967 [3 per cell]  6 S 2.74-2.79
S1 0.0016 0.7083 0.3978 [9 per cell]  2 Pm 2.79-2.87, 1 Y 2.79, 1 Ce 2.81
S2 0.0379 0.3598 0.5636 [9 per cell]  1 Y 2.74, 2 Pm 2.80-2.88, 1 Ce 2.89

No. 9
Crystalline Na5Li4Ti5O14 at its relaxed geometry. Source: the Alexandria database, functional GGA-PBE.

ρ   3458 kg/m3
Formation energy without anion corrections   -2.50 eV/atom

Cell: 5.2186 7.0280 8.1853 Å, 88.84 78.09 82.17°
Closest atoms and distances in Å follow each position.
Space group P1 (No. 1)
Unique sites:
Na1 0.0000 0.0000 0.0000 [1 per cell]  6 O 2.29-2.42
Na2 0.1381 0.7089 0.7019 [1 per cell]  6 O 2.29-2.44
Na3 0.4082 0.1444 0.1368 [1 per cell]  6 O 2.29-2.41
Na4 0.5627 0.8656 0.8537 [1 per cell]  6 O 2.28-2.38
Na5 0.8492 0.2763 0.2789 [1 per cell]  6 O 2.26-2.38
Li1 0.0563 0.8505 0.3599 [1 per cell]  6 O 2.09-2.29
Li2 0.2647 0.4218 0.4373 [1 per cell]  4 O 2.12-2.33
Li3 0.3532 0.2953 0.7819 [1 per cell]  6 O 2.10-2.32
Li4 0.7119 0.5592 0.5506 [1 per cell]  4 O 2.06-2.26
Ti1 0.1985 0.5711 0.0759 [1 per cell]  6 O 1.98-2.04
Ti2 0.4955 0.0144 0.4996 [1 per cell]  5 O 1.94-2.00
Ti3 0.6200 0.7149 0.2282 [1 per cell]  5 O 1.88-2.09
Ti4 0.7772 0.4298 0.9121 [1 per cell]  5 O 1.94-2.11
Ti5 0.9244 0.1516 0.6395 [1 per cell]  6 O 1.95-2.08
O1 0.0851 0.3255 0.0153 [1 per cell]  2 Ti 2.00-2.01, 1 Li 2.12
O2 0.1788 0.1382 0.4189 [1 per cell]  2 Ti 1.99-2.00, 1 Li 2.12
O3 0.2345 0.0228 0.7157 [1 per cell]  2 Ti 1.95-1.99
O4 0.3214 0.8197 0.1228 [1 per cell]  2 Ti 1.98-2.01, 1 Li 2.13
O5 0.4231 0.7234 0.4492 [1 per cell]  1 Ti 1.88, 1 Li 2.07
O6 0.4561 0.5569 0.8511 [1 per cell]  2 Ti 1.94-2.04, 1 Li 2.10
O7 0.5196 0.4546 0.1606 [1 per cell]  3 Ti 2.01-2.19
O8 0.5999 0.2610 0.5388 [1 per cell]  2 Ti 1.94-2.08, 1 Li 2.13
O9 0.6964 0.1721 0.8695 [1 per cell]  2 Ti 1.97-2.01, 1 Li 2.13
O10 0.7092 0.9694 0.2674 [1 per cell]  2 Ti 1.96-2.00, 1 Li 2.16
O11 0.7984 0.9042 0.5913 [1 per cell]  2 Ti 1.95-2.01, 1 Li 2.09
O12 0.8854 0.6891 0.9858 [1 per cell]  3 Ti 2.00-2.17
O13 0.9545 0.5822 0.2973 [1 per cell]  2 Ti 1.98-2.04, 2 Li 2.13-2.21
O14 0.9849 0.4215 0.6777 [1 per cell]  2 Ti 2.00-2.01, 2 Li 2.06-2.20

No. 10
Crystalline TcBr3F at its relaxed geometry. Source: the Alexandria database, functional GGA-PBE.

ρ   4591 kg/m3
Formation energy without anion corrections   0.00 eV/atom
Energy relative to the lowest polymorph listed for this composition   2.85 eV/f.u.

Cell: 5.0530 5.0530 5.0530 Å, 90.00 90.00 90.00°
Closest atoms and distances in Å follow each position.
Space group Pm-3m (No. 221)
Unique sites:
Tc1 0.0000 0.0000 0.0000 [1 per cell]  6 Br 2.53
Br1 0.0000 0.0000 0.5000 [3 per cell]  2 Tc 2.53
F1 0.5000 0.5000 0.5000 [1 per cell]  12 Br 3.57

No. 11
Crystalline SnPd2Pt at its relaxed geometry. Source: the Alexandria database, functional GGA-PBE.

ρ   12041 kg/m3
ΔH_f (0 K)   -0.200 eV per atom

Cell: 3.8912 3.8912 19.1853 Å, 90.00 90.00 90.00°
Closest atoms and distances in Å follow each position.
Space group I-42d (No. 122)
Unique sites:
Sn1 0.0000 0.0000 0.0000 [4 per cell]  4 Pt 2.75, 4 Pd 2.77
Pd1 0.2460 0.2500 0.6250 [8 per cell]  4 Pd 2.73-2.77, 2 Pt 2.76, 2 Sn 2.77
Pt1 0.0000 0.0000 0.5000 [4 per cell]  4 Sn 2.75, 4 Pd 2.76

No. 12
Crystalline Dy2ThSb at its relaxed geometry. Source: the Alexandria database, functional GGA-PBE.

ρ   10017 kg/m3
Formation energy without anion corrections   -0.45 eV/atom
Energy relative to the lowest polymorph listed for this composition   0.19 eV/f.u.

Cell: 4.8931 4.8931 4.6997 Å, 90.00 90.00 90.00°
Closest atoms and distances in Å follow each position.
Space group P4/mmm (No. 123)
Unique sites:
Dy1 0.0000 0.5000 0.0000 [2 per cell]  4 Sb 3.39, 4 Th 3.39, 4 Dy 3.46
Th1 0.0000 0.0000 0.5000 [1 per cell]  8 Dy 3.39, 4 Sb 3.46
Sb1 0.5000 0.5000 0.5000 [1 per cell]  8 Dy 3.39, 4 Th 3.46

No. 13
Crystalline Ac2TlAg4Ge3 at its relaxed geometry. Source: the Alexandria database, functional GGA-PBE.

ρ   9173 kg/m3
ΔH_f (0 K)   -0.336 eV per atom

Cell: 4.5459 4.5459 11.4555 Å, 90.00 90.00 90.00°
Closest atoms and distances in Å follow each position.
Space group P-4m2 (No. 115)
Unique sites:
Ac1 0.0000 0.5000 0.2332 [2 per cell]  6 Ge 3.43-3.81, 8 Ag 3.49-3.51, 2 Tl 3.81
Tl1 0.0000 0.0000 0.5000 [1 per cell]  4 Ag 2.83
Ag1 0.0000 0.0000 0.0000 [1 per cell]  4 Ge 2.71
Ag2 0.0000 0.5000 0.6473 [2 per cell]  3 Ge 2.57-2.83, 2 Tl 2.83
Ag3 0.5000 0.5000 0.0000 [1 per cell]  4 Ge 2.71
Ge1 0.0000 0.5000 0.8715 [2 per cell]  5 Ag 2.57-2.71
Ge2 0.5000 0.5000 0.5000 [1 per cell]  4 Ag 2.83

Number 1: final energy -4.4685 eV/atom. Number 2: final energy -3.1647 eV/atom. Number 3: final energy -1.9706 eV/atom. Number 4: final energy -6.1196 eV/atom. Number 5: final energy -5.9368 eV/atom. Number 6: final energy -4.9363 eV/atom. Number 7: final energy -3.9773 eV/atom. Number 8: final energy -6.6721 eV/atom. Number 9: final energy -6.8930 eV/atom. Number 10: final energy -3.4501 eV/atom. Number 11: final energy -5.3073 eV/atom. Number 12: final energy -5.6318 eV/atom. Number 13: final energy -3.9205 eV/atom.